(1)
This record from the Alexandria database describes a relaxed structure of SrAs2BrO. The functional is PBE.

Results
mass density: 4.7 g/cm3
raw formation energy: -647 meV per atom
total energy: -4.169 eV/atom

abc: 4.265 4.265 6.458
angles: 90.00 90.00 90.00
Sites, in units of the cell vectors:
Sr (0.000, 0.000, 0.000)
As (0.000, 0.500, 0.500)
As (0.500, 0.000, 0.500)
Br (0.500, 0.500, 0.000)
O (0.500, 0.500, 0.500)

***

(2)
This record from the Alexandria database describes a relaxed structure of SrAs2BrO. The functional is PBE.

Results
mass density: 2.2 g/cm3
raw formation energy: 799 meV per atom
total energy: -2.723 eV/atom

abc: 6.503 6.503 5.865
angles: 90.00 90.00 90.00
Sites, in units of the cell vectors:
Sr (0.000, 0.000, 0.000)
As (0.000, 0.500, 0.000)
As (0.500, 0.000, 0.000)
Br (0.000, 0.000, 0.500)
O (0.500, 0.500, 0.500)

***

(3)
This record from the Alexandria database describes a relaxed structure of TaAsBr2O. The functional is PBE.

Results
mass density: 7.8 g/cm3
raw formation energy: 932 meV per atom
total energy: -4.029 eV/atom

abc: 4.591 4.591 4.347
angles: 90.00 90.00 90.00
Sites, in units of the cell vectors:
Ta (0.000, 0.000, 0.000)
As (0.500, 0.500, 0.000)
Br (0.000, 0.500, 0.500)
Br (0.500, 0.000, 0.500)
O (0.500, 0.500, 0.500)

***

(4)
This record from the Alexandria database describes a relaxed structure of TaAs2BrO. The functional is PBE.

Results
mass density: 8.0 g/cm3
raw formation energy: 500 meV per atom
total energy: -5.057 eV/atom

abc: 4.083 4.083 5.320
angles: 90.00 90.00 90.00
Sites, in units of the cell vectors:
Ta (0.000, 0.000, 0.000)
As (0.000, 0.500, 0.500)
As (0.500, 0.000, 0.500)
Br (0.500, 0.500, 0.000)
O (0.500, 0.500, 0.500)

***

(5)
This record from the Alexandria database describes a relaxed structure of TaAs2BrO. The functional is PBE.

Results
mass density: 5.5 g/cm3
raw formation energy: 627 meV per atom
total energy: -4.929 eV/atom

abc: 4.996 4.996 5.157
angles: 90.00 90.00 90.00
Sites, in units of the cell vectors:
Ta (0.000, 0.000, 0.000)
As (0.000, 0.500, 0.000)
As (0.500, 0.000, 0.000)
Br (0.000, 0.000, 0.500)
O (0.500, 0.500, 0.500)

***

(6)
This record from the Alexandria database describes a relaxed structure of TaAsBr2O. The functional is PBE.

Results
mass density: 5.5 g/cm3
raw formation energy: 531 meV per atom
total energy: -4.430 eV/atom

abc: 5.042 5.042 5.083
angles: 90.00 90.00 90.00
Sites, in units of the cell vectors:
Ta (0.000, 0.000, 0.000)
As (0.000, 0.000, 0.500)
Br (0.000, 0.500, 0.000)
Br (0.500, 0.000, 0.000)
O (0.500, 0.500, 0.500)

***

(7)
This record from the Alexandria database describes a relaxed structure of TeAs2BrO. The functional is PBE.

Results
mass density: 6.2 g/cm3
raw formation energy: 454 meV per atom
total energy: -3.360 eV/atom

abc: 4.578 4.578 4.760
angles: 90.00 90.00 90.00
Sites, in units of the cell vectors:
Te (0.000, 0.000, 0.000)
As (0.000, 0.500, 0.500)
As (0.500, 0.000, 0.500)
Br (0.500, 0.500, 0.000)
O (0.500, 0.500, 0.500)

***

(8)
This record from the Alexandria database describes a relaxed structure of TeAs2BrO. The functional is PBE.

Results
mass density: 3.6 g/cm3
raw formation energy: 1207 meV per atom
total energy: -2.608 eV/atom

abc: 5.478 5.478 5.735
angles: 90.00 90.00 90.00
Sites, in units of the cell vectors:
Te (0.000, 0.000, 0.000)
As (0.000, 0.500, 0.000)
As (0.500, 0.000, 0.000)
Br (0.000, 0.000, 0.500)
O (0.500, 0.500, 0.500)

***

(9)
This record from the Alexandria database describes a relaxed structure of ThAsBrO4. The functional is PBE.

Results
mass density: 5.9 g/cm3
raw formation energy: -2204 meV per atom
total energy: -7.000 eV/atom

abc: 6.376 6.376 6.927
angles: 102.41 102.41 69.14
Sites, in units of the cell vectors:
Th (0.243, 0.243, 0.146)
Th (0.757, 0.757, 0.854)
As (0.365, 0.365, 0.734)
As (0.635, 0.635, 0.266)
Br (0.019, 0.019, 0.758)
Br (0.981, 0.981, 0.242)
O (0.127, 0.489, 0.856)
O (0.291, 0.291, 0.485)
O (0.469, 0.469, 0.221)
O (0.489, 0.127, 0.856)
O (0.511, 0.873, 0.144)
O (0.531, 0.531, 0.779)
O (0.709, 0.709, 0.515)
O (0.873, 0.511, 0.144)

***

(10)
This record from the Alexandria database describes a relaxed structure of TiAs2BrO. The functional is PBE.

Results
mass density: 5.2 g/cm3
raw formation energy: 88 meV per atom
total energy: -4.677 eV/atom

abc: 4.091 4.091 5.599
angles: 90.00 90.00 90.00
Sites, in units of the cell vectors:
Ti (0.000, 0.000, 0.000)
As (0.000, 0.500, 0.500)
As (0.500, 0.000, 0.500)
Br (0.500, 0.500, 0.000)
O (0.500, 0.500, 0.500)

***

(11)
This record from the Alexandria database describes a relaxed structure of TiAs2BrO. The functional is PBE.

Results
mass density: 4.1 g/cm3
raw formation energy: 435 meV per atom
total energy: -4.330 eV/atom

abc: 4.932 4.932 4.904
angles: 90.00 90.00 90.00
Sites, in units of the cell vectors:
Ti (0.000, 0.000, 0.000)
As (0.000, 0.500, 0.000)
As (0.500, 0.000, 0.000)
Br (0.000, 0.000, 0.500)
O (0.500, 0.500, 0.500)

***

(12)
This record from the Alexandria database describes a relaxed structure of Tl2AsBr2O2. The functional is PBE.

Results
mass density: 6.2 g/cm3
raw formation energy: -631 meV per atom
total energy: -3.865 eV/atom

abc: 6.735 6.735 8.066
angles: 119.92 119.92 35.25
Sites, in units of the cell vectors:
Tl (0.190, 0.190, 0.244)
Tl (0.810, 0.810, 0.756)
As (0.000, 0.000, 0.500)
Br (0.444, 0.444, 0.208)
Br (0.556, 0.556, 0.792)
O (0.156, 0.156, 0.563)
O (0.844, 0.844, 0.437)